Record 1
# NbPt6Rh23

A relaxed NbPt6Rh23 crystal (GGA-PBE, Alexandria).

## Properties
Energy relative to the elements = 186 meV/atom
Fermi-level density of states = 204.6 states/eV per cell
Total energy = -6.994 eV per atom

a = 12.223 Å, b = 12.223 Å, c = 12.223 Å
α = 90.00°, β = 90.00°, γ = 90.00°
Space group Fm-3m (No. 225)
Inequivalent atoms, fractional coordinates:
Nb: 0.000 0.000 0.000 x4
Pt: 0.000 0.000 0.228 x24
Rh: 0.000 0.000 0.500 x4
Rh: 0.000 0.250 0.250 x24
Rh: 0.125 0.125 0.375 x32
Rh: 0.149 0.149 0.149 x32

***

Record 2
# LaHfO2F

A relaxed LaHfO2F crystal (GGA-PBE, Alexandria).

## Properties
Fermi-level density of states = 4.7 states/eV per cell
Raw formation energy = -152 kJ per mole of atoms
Total energy = -6.909 eV per atom

a = 4.674 Å, b = 4.674 Å, c = 4.466 Å
α = 90.00°, β = 90.00°, γ = 90.00°
Space group P4/mmm (No. 123)
Inequivalent atoms, fractional coordinates:
La: 0.000 0.000 0.000 x1
Hf: 0.500 0.500 0.500 x1
O: 0.000 0.500 0.000 x2
F: 0.000 0.000 0.500 x1

***

Record 3
# Ga2IrRu

A relaxed Ga2IrRu crystal (GGA-PBE, Alexandria).

## Properties
Energy relative to the elements = -258 meV/atom
Fermi-level density of states = 8.6 states/eV per cell
Total energy = -6.305 eV per atom

a = 2.9039 Å, b = 2.9039 Å, c = 24.0152 Å
α = 90.00°, β = 90.00°, γ = 120.00°
Space group R3m (No. 160, hexagonal axes)
Inequivalent atoms, fractional coordinates:
Ga: 0.0000 0.0000 0.0000 x3
Ga: 0.0000 0.0000 0.1642 x3
Ir: 0.0000 0.0000 0.5813 x3
Ru: 0.0000 0.0000 0.4163 x3

***

Record 4
# ZrSiGe2F

A relaxed ZrSiGe2F crystal (GGA-PBE, Alexandria).

## Properties
Fermi-level density of states = 2.7 states/eV per cell
Raw formation energy = -23 kJ per mole of atoms
Total energy = -5.257 eV per atom

a = 5.268 Å, b = 5.268 Å, c = 4.128 Å
α = 90.00°, β = 90.00°, γ = 90.00°
Space group P4/mmm (No. 123)
Inequivalent atoms, fractional coordinates:
Zr: 0.000 0.000 0.000 x1
Si: 0.500 0.500 0.500 x1
Ge: 0.000 0.500 0.000 x2
F: 0.000 0.000 0.500 x1

***

Record 5
# Na3TeP

A relaxed Na3TeP crystal (GGA-PBE, Alexandria).

## Properties
Relative energy among the computed polymorphs = 0 meV/atom
Fermi-level density of states = 3.3 states/eV per cell
Raw formation energy = -14 kJ per mole of atoms
Total energy = -2.649 eV per atom

a = 5.399 Å, b = 5.399 Å, c = 5.399 Å
α = 90.00°, β = 90.00°, γ = 90.00°
Space group Pm-3m (No. 221)
Inequivalent atoms, fractional coordinates:
Na: 0.000 0.000 0.500 x3
Te: 0.500 0.500 0.500 x1
P: 0.000 0.000 0.000 x1

***

Record 6
# BeTc2As

A relaxed BeTc2As crystal (GGA-PBE, Alexandria).

## Properties
Energy relative to the elements = -88 meV/atom
Relative energy among the computed polymorphs = 77 meV/atom
Fermi-level density of states = 4.4 states/eV per cell
Total energy = -7.365 eV per atom

a = 3.990 Å, b = 3.049 Å, c = 8.668 Å
α = 90.00°, β = 90.00°, γ = 90.00°
Space group Amm2 (No. 38)
Inequivalent atoms, fractional coordinates:
Be: 0.000 0.000 0.000 x2
Tc: 0.000 0.000 0.270 x2
Tc: 0.500 0.000 0.550 x2
As: 0.500 0.000 0.828 x2

***

Record 7
# Ac3Cr5N12

A relaxed Ac3Cr5N12 crystal (GGA-PBE, Alexandria).

## Properties
Fermi-level density of states = 56.9 states/eV per cell
Raw formation energy = -54 kJ per mole of atoms
Total energy = -8.573 eV per atom

a = 12.811 Å, b = 12.811 Å, c = 12.811 Å
α = 90.00°, β = 90.00°, γ = 90.00°
Space group Ia-3d (No. 230)
Inequivalent atoms, fractional coordinates:
Ac: 0.000 0.250 0.125 x24
Cr: 0.000 0.000 0.000 x16
Cr: 0.000 0.250 0.375 x24
N: 0.037 0.148 0.959 x96

***

Record 8
# Na4HoEr3Te8

A relaxed Na4HoEr3Te8 crystal (GGA-PBE, Alexandria).

## Properties
Raw formation energy = -126 kJ per mole of atoms
Total energy = -4.347 eV per atom

a = 8.8041 Å, b = 8.8041 Å, c = 22.6898 Å
α = 90.00°, β = 90.00°, γ = 120.00°
Space group R-3m (No. 166, hexagonal axes)
Inequivalent atoms, fractional coordinates:
Na: 0.0000 0.0000 0.0000 x3
Na: 0.0000 0.5000 0.0000 x9
Ho: 0.0000 0.0000 0.5000 x3
Er: 0.0000 0.5000 0.5000 x9
Te: 0.0000 0.0000 0.2433 x6
Te: 0.0008 0.5004 0.7565 x18